No. 1
Density functional theory data (GGA-PBE) for a geometry-optimized TbGdY structure.

Magnetic moment, μB/atom: 2.4374
Space-group type: No. 156
Energy of formation, eV/atom: 0.0208

Cell: 3.5772 3.5772 8.7339 Å, 90.00 90.00 120.00°
Sites, in units of the cell vectors:
Tb 0.0000 0.0000 0.0000
Gd 0.6667 0.3333 0.3338
Y 0.3333 0.6667 0.6701

---

No. 2
Density functional theory data (GGA-PBE) for a geometry-optimized PmTmMgAu structure.

Magnetic moment, μB/atom: 0.0000
Offset from the most stable computed form, meV per atom: 67
Space-group type: No. 216
Energy of formation, eV/atom: -0.3917

Cell: 5.2292 5.2292 5.2292 Å, 60.00 60.00 60.00°
Sites, in units of the cell vectors:
Pm 0.0000 0.0000 0.0000
Tm 0.5000 0.5000 0.5000
Mg 0.2500 0.2500 0.2500
Au 0.7500 0.7500 0.7500

---

No. 3
Density functional theory data (GGA-PBE) for a geometry-optimized NpUS6 structure.

Magnetic moment, μB/atom: 0.1232
Formation energy (no corrections), eV per atom: -0.78
Space-group type: No. 148

Cell: 7.0554 7.0554 7.0554 Å, 57.78 57.78 57.78°
Sites, in units of the cell vectors:
Np 0.0000 0.0000 0.0000
U 0.5000 0.5000 0.5000
S 0.1523 0.3473 0.7505
S 0.2495 0.8477 0.6527
S 0.3473 0.7505 0.1523
S 0.6527 0.2495 0.8477
S 0.7505 0.1523 0.3473
S 0.8477 0.6527 0.2495

---

No. 4
Density functional theory data (GGA-PBE) for a geometry-optimized LaSc2Hg structure.

Magnetic moment, μB/atom: 0.0001
Space-group type: No. 160
Energy of formation, eV/atom: -0.0735

Cell: 10.4362 10.4362 10.4362 Å, 19.23 19.23 19.23°
Sites, in units of the cell vectors:
La 0.0000 0.0000 0.0000
Sc 0.2403 0.2403 0.2403
Sc 0.4277 0.4277 0.4277
Hg 0.8343 0.8343 0.8343

---

No. 5
Density functional theory data (GGA-PBE) for a geometry-optimized SnP2Au structure.

Magnetic moment, μB/atom: 0.0000
Space-group type: No. 166
Energy of formation, eV/atom: 0.1973

Cell: 7.8718 7.8718 7.8718 Å, 28.33 28.33 28.33°
Sites, in units of the cell vectors:
Sn 0.0000 0.0000 0.0000
P 0.3981 0.3981 0.3981
P 0.6019 0.6019 0.6019
Au 0.5000 0.5000 0.5000

---

No. 6
Density functional theory data (GGA-PBE) for a geometry-optimized Th4AlSn structure.

Magnetic moment, μB/atom: 0.0000
Space-group type: No. 124
Energy of formation, eV/atom: -0.3194

Cell: 7.6481 7.6481 6.1055 Å, 90.00 90.00 90.00°
Sites, in units of the cell vectors:
Th 0.1507 0.3373 0.0000
Th 0.1507 0.6627 0.5000
Th 0.3373 0.1507 0.5000
Th 0.3373 0.8493 0.0000
Th 0.6627 0.1507 0.0000
Th 0.6627 0.8493 0.5000
Th 0.8493 0.3373 0.5000
Th 0.8493 0.6627 0.0000
Al 0.0000 0.0000 0.2500
Al 0.0000 0.0000 0.7500
Sn 0.5000 0.5000 0.2500
Sn 0.5000 0.5000 0.7500

---

No. 7
Density functional theory data (GGA-PBE) for a geometry-optimized Tb3SeS3 structure.

Magnetic moment, μB/atom: 0.0000
Offset from the most stable computed form, meV per atom: 35
Formation energy (no corrections), eV per atom: -1.96
Space-group type: No. 148

Cell: 7.3609 7.3609 7.3609 Å, 69.12 69.12 69.12°
Sites, in units of the cell vectors:
Tb 0.0531 0.4244 0.7822
Tb 0.2178 0.9469 0.5756
Tb 0.4244 0.7822 0.0531
Tb 0.5756 0.2178 0.9469
Tb 0.7822 0.0531 0.4244
Tb 0.9469 0.5756 0.2178
Se 0.1681 0.1681 0.1681
Se 0.8319 0.8319 0.8319
S 0.1268 0.6997 0.4032
S 0.3003 0.5968 0.8732
S 0.4032 0.1268 0.6997
S 0.5968 0.8732 0.3003
S 0.6997 0.4032 0.1268
S 0.8732 0.3003 0.5968

---

No. 8
Density functional theory data (GGA-PBE) for a geometry-optimized AcTbAgRh structure.

Magnetic moment, μB/atom: 0.0000
Space-group type: No. 216
Energy of formation, eV/atom: -0.4104

Cell: 5.2244 5.2244 5.2244 Å, 60.00 60.00 60.00°
Sites, in units of the cell vectors:
Ac 0.0000 0.0000 0.0000
Tb 0.5000 0.5000 0.5000
Ag 0.7500 0.7500 0.7500
Rh 0.2500 0.2500 0.2500

---

No. 9
Density functional theory data (GGA-PBE) for a geometry-optimized SrTlOs structure.

Magnetic moment, μB/atom: 0.0005
Space-group type: No. 187
Energy of formation, eV/atom: 0.5922

Cell: 4.7091 4.7091 4.1544 Å, 90.00 90.00 120.00°
Sites, in units of the cell vectors:
Sr 0.0000 0.0000 0.0000
Tl 0.6667 0.3333 0.5000
Os 0.3333 0.6667 0.5000

---

No. 10
Density functional theory data (GGA-PBE) for a geometry-optimized BeCr2CdN structure.

Magnetic moment, μB/atom: 1.3280
Formation energy (no corrections), eV per atom: 2.23
Space-group type: No. 123

Cell: 5.1060 5.1060 4.3438 Å, 90.00 90.00 90.00°
Sites, in units of the cell vectors:
Be 0.0000 0.0000 0.0000
Cr 0.0000 0.5000 0.5000
Cr 0.5000 0.0000 0.5000
Cd 0.0000 0.0000 0.5000
N 0.5000 0.5000 0.0000

---

No. 11
Density functional theory data (GGA-PBE) for a geometry-optimized SrTeAs2Se structure.

Magnetic moment, μB/atom: 0.0000
Offset from the most stable computed form, meV per atom: 0
Formation energy (no corrections), eV per atom: -0.02
Space-group type: No. 123

Cell: 5.3231 5.3231 5.4775 Å, 90.00 90.00 90.00°
Sites, in units of the cell vectors:
Sr 0.0000 0.0000 0.0000
Te 0.5000 0.5000 0.5000
As 0.0000 0.5000 0.5000
As 0.5000 0.0000 0.5000
Se 0.5000 0.5000 0.0000

---

No. 12
Density functional theory data (GGA-PBE) for a geometry-optimized EuInSbPb structure.

Magnetic moment, μB/atom: 1.7517
Formation energy (no corrections), eV per atom: -0.31
Space-group type: No. 216

Cell: 5.5521 5.5521 5.5521 Å, 60.00 60.00 60.00°
Sites, in units of the cell vectors:
Eu 0.0000 0.0000 0.0000
In 0.7500 0.7500 0.7500
Sb 0.2500 0.2500 0.2500
Pb 0.5000 0.5000 0.5000

---

No. 13
Density functional theory data (GGA-PBE) for a geometry-optimized P2PbBr structure.

Magnetic moment, μB/atom: 0.0000
Offset from the most stable computed form, meV per atom: 659
Formation energy (no corrections), eV per atom: 0.53
Space-group type: No. 123

Cell: 4.0112 4.0112 6.1185 Å, 90.00 90.00 90.00°
Sites, in units of the cell vectors:
P 0.0000 0.5000 0.0000
P 0.5000 0.0000 0.0000
Pb 0.0000 0.0000 0.5000
Br 0.5000 0.5000 0.5000

---

No. 14
Density functional theory data (GGA-PBE) for a geometry-optimized Cr2InNi structure.

Magnetic moment, μB/atom: 0.0001
Space-group type: No. 139
Energy of formation, eV/atom: 0.2971

Cell: 4.9222 4.9222 4.9222 Å, 137.29 137.29 62.00°
Sites, in units of the cell vectors:
Cr 0.2500 0.7500 0.5000
Cr 0.7500 0.2500 0.5000
In 0.0000 0.0000 0.0000
Ni 0.5000 0.5000 0.0000

---

No. 15
Density functional theory data (GGA-PBE) for a geometry-optimized BaBe3N structure.

Magnetic moment, μB/atom: 0.0000
Offset from the most stable computed form, meV per atom: 2240
Formation energy (no corrections), eV per atom: 3.30
Space-group type: No. 221

Cell: 5.8492 5.8492 5.8492 Å, 90.00 90.00 90.00°
Sites, in units of the cell vectors:
Ba 0.0000 0.0000 0.0000
Be 0.0000 0.0000 0.5000
Be 0.0000 0.5000 0.0000
Be 0.5000 0.0000 0.0000
N 0.5000 0.5000 0.5000

---

No. 16
Density functional theory data (GGA-PBE) for a geometry-optimized MnCuRu2 structure.

Magnetic moment, μB/atom: 0.7276
Space-group type: No. 119
Energy of formation, eV/atom: 0.1595

Cell: 4.6419 4.6419 4.6419 Å, 132.82 132.82 68.94°
Sites, in units of the cell vectors:
Mn 0.0000 0.0000 0.0000
Cu 0.7500 0.2500 0.5000
Ru 0.2500 0.7500 0.5000
Ru 0.5000 0.5000 0.0000

---

No. 17
Density functional theory data (GGA-PBE) for a geometry-optimized HoLuBeHg structure.

Magnetic moment, μB/atom: 0.0000
Space-group type: No. 216
Energy of formation, eV/atom: -0.1331

Cell: 5.0254 5.0254 5.0254 Å, 60.00 60.00 60.00°
Sites, in units of the cell vectors:
Ho 0.0000 0.0000 0.0000
Lu 0.5000 0.5000 0.5000
Be 0.7500 0.7500 0.7500
Hg 0.2500 0.2500 0.2500

---

No. 18
Density functional theory data (GGA-PBE) for a geometry-optimized La2Pr3Ga4 structure.

Magnetic moment, μB/atom: 0.0000
Offset from the most stable computed form, meV per atom: 0
Space-group type: No. 14
Energy of formation, eV/atom: -0.5187

Cell: 8.3627 8.3241 7.7259 Å, 90.00 105.75 90.00°
Sites, in units of the cell vectors:
La 0.1882 0.1828 0.0716
La 0.1882 0.3172 0.5716
La 0.8118 0.6828 0.4284
La 0.8118 0.8172 0.9284
Pr 0.2363 0.6765 0.2526
Pr 0.2363 0.8235 0.7526
Pr 0.5000 0.0000 0.5000
Pr 0.5000 0.5000 0.0000
Pr 0.7637 0.1765 0.2474
Pr 0.7637 0.3235 0.7474
Ga 0.0780 0.5301 0.8700
Ga 0.0780 0.9699 0.3700
Ga 0.4896 0.1196 0.8837
Ga 0.4896 0.3804 0.3837
Ga 0.5104 0.6196 0.6163
Ga 0.5104 0.8804 0.1163
Ga 0.9220 0.0301 0.6300
Ga 0.9220 0.4699 0.1300

---

No. 19
Density functional theory data (GGA-PBE) for a geometry-optimized K2MnBe structure.

Magnetic moment, μB/atom: 0.9302
Space-group type: No. 122
Energy of formation, eV/atom: 0.8602

Cell: 9.0419 9.0419 9.0419 Å, 93.59 93.59 151.01°
Sites, in units of the cell vectors:
K 0.3750 0.0550 0.1800
K 0.8050 0.6250 0.6800
K 0.8750 0.1950 0.8200
K 0.9450 0.1250 0.3200
Mn 0.2500 0.7500 0.5000
Mn 0.5000 0.5000 0.0000
Be 0.0000 0.0000 0.0000
Be 0.7500 0.2500 0.5000

---

No. 20
Density functional theory data (GGA-PBE) for a geometry-optimized Ti12Ga3Sb structure.

Magnetic moment, μB/atom: 0.0009
Formation energy (no corrections), eV per atom: -0.32
Space-group type: No. 47

Cell: 5.1049 5.1111 10.2303 Å, 90.00 90.00 90.00°
Sites, in units of the cell vectors:
Ti 0.0000 0.0000 0.1213
Ti 0.0000 0.0000 0.3681
Ti 0.0000 0.0000 0.6319
Ti 0.0000 0.0000 0.8787
Ti 0.2424 0.5000 0.5000
Ti 0.2507 0.5000 0.0000
Ti 0.5000 0.2523 0.2446
Ti 0.5000 0.2523 0.7554
Ti 0.5000 0.7477 0.2446
Ti 0.5000 0.7477 0.7554
Ti 0.7493 0.5000 0.0000
Ti 0.7576 0.5000 0.5000
Ga 0.0000 0.5000 0.2506
Ga 0.0000 0.5000 0.7494
Ga 0.5000 0.0000 0.0000
Sb 0.5000 0.0000 0.5000

---

No. 21
Density functional theory data (GGA-PBE) for a geometry-optimized SrAsN2 structure.

Magnetic moment, μB/atom: 0.0000
Formation energy (no corrections), eV per atom: 0.12
Space-group type: No. 166

Cell: 6.4497 6.4497 6.4497 Å, 36.35 36.35 36.35°
Sites, in units of the cell vectors:
Sr 0.0000 0.0000 0.0000
As 0.5000 0.5000 0.5000
N 0.4041 0.4041 0.4041
N 0.5959 0.5959 0.5959

---

No. 22
Density functional theory data (GGA-PBE) for a geometry-optimized CePr2In9 structure.

Magnetic moment, μB/atom: 0.0496
Space-group type: No. 123
Energy of formation, eV/atom: -0.4572

Cell: 4.7286 4.7286 14.1884 Å, 90.00 90.00 90.00°
Sites, in units of the cell vectors:
Ce 0.0000 0.0000 0.0000
Pr 0.0000 0.0000 0.3333
Pr 0.0000 0.0000 0.6667
In 0.0000 0.5000 0.1646
In 0.0000 0.5000 0.5000
In 0.0000 0.5000 0.8354
In 0.5000 0.0000 0.1646
In 0.5000 0.0000 0.5000
In 0.5000 0.0000 0.8354
In 0.5000 0.5000 0.0000
In 0.5000 0.5000 0.3321
In 0.5000 0.5000 0.6679

---

No. 23
Density functional theory data (GGA-PBE) for a geometry-optimized Ba2TlSe2 structure.

Magnetic moment, μB/atom: 0.0000
Offset from the most stable computed form, meV per atom: 0
Formation energy (no corrections), eV per atom: -1.45
Space-group type: No. 127

Cell: 8.8890 8.8890 4.3178 Å, 90.00 90.00 90.00°
Sites, in units of the cell vectors:
Ba 0.1543 0.3457 0.0000
Ba 0.3457 0.8457 0.0000
Ba 0.6543 0.1543 0.0000
Ba 0.8457 0.6543 0.0000
Tl 0.0000 0.0000 0.5000
Tl 0.5000 0.5000 0.5000
Se 0.1513 0.6513 0.5000
Se 0.3487 0.1513 0.5000
Se 0.6513 0.8487 0.5000
Se 0.8487 0.3487 0.5000

---

No. 24
Density functional theory data (GGA-PBE) for a geometry-optimized PuIn2I6 structure.

Magnetic moment, μB/atom: 0.4419
Formation energy (no corrections), eV per atom: -0.71
Space-group type: No. 14

Cell: 8.0638 8.5321 13.5969 Å, 90.00 120.41 90.00°
Sites, in units of the cell vectors:
Pu 0.0000 0.0000 0.0000
Pu 0.0000 0.5000 0.5000
In 0.3276 0.1032 0.7890
In 0.3276 0.3968 0.2890
In 0.6724 0.6032 0.7110
In 0.6724 0.8968 0.2110
I 0.0968 0.0419 0.2433
I 0.0968 0.4581 0.7433
I 0.2387 0.7055 0.0708
I 0.2387 0.7945 0.5708
I 0.3550 0.1864 0.0499
I 0.3550 0.3136 0.5499
I 0.6450 0.6864 0.4501
I 0.6450 0.8136 0.9501
I 0.7613 0.2055 0.4292
I 0.7613 0.2945 0.9292
I 0.9032 0.5419 0.2567
I 0.9032 0.9581 0.7567

---

No. 25
Density functional theory data (GGA-PBE) for a geometry-optimized Li6In12Ag structure.

Magnetic moment, μB/atom: 0.0000
Space-group type: No. 148
Energy of formation, eV/atom: -0.1524

Cell: 7.5263 7.5263 7.5263 Å, 90.23 90.23 90.23°
Sites, in units of the cell vectors:
Li 0.2302 0.7663 0.3898
Li 0.2337 0.6102 0.7698
Li 0.3898 0.2302 0.7663
Li 0.6102 0.7698 0.2337
Li 0.7663 0.3898 0.2302
Li 0.7698 0.2337 0.6102
In 0.0427 0.2965 0.9380
In 0.0620 0.9573 0.7035
In 0.1344 0.3515 0.4822
In 0.2965 0.9380 0.0427
In 0.3515 0.4822 0.1344
In 0.4822 0.1344 0.3515
In 0.5178 0.8656 0.6485
In 0.6485 0.5178 0.8656
In 0.7035 0.0620 0.9573
In 0.8656 0.6485 0.5178
In 0.9380 0.0427 0.2965
In 0.9573 0.7035 0.0620
Ag 0.5000 0.5000 0.5000